# 1
DFT (GGA-PBE) results for a relaxed LiCaMg2Ag4 crystal.

Calculated values
DOS(E_F) = 0.4878 states/eV per atom
formation energy from the elements = -0.228 eV/atom
SG = R-3m (166)
electronic total energy = -2.5419 eV per atom

Cell lengths 8.8297, 8.8297, 8.8297 Å; angles 30.99, 30.99, 30.99 degrees
Closest atoms and distances in Å follow each position.
Positions (direct):
Li (0.0000, 0.0000, 0.0000)  8 Ag 2.66-2.90
Ca (0.5000, 0.5000, 0.5000)  8 Ag 3.13-3.21
Mg (0.2577, 0.2577, 0.2577)  7 Ag 2.83-2.89
Mg (0.7423, 0.7423, 0.7423)  7 Ag 2.83-2.89
Ag (0.1054, 0.1054, 0.1054)  1 Li 2.66, 3 Mg 2.83
Ag (0.3725, 0.3725, 0.3725)  4 Mg 2.87-2.89, 3 Li 2.90, 3 Ag 3.19, 1 Ca 3.21
Ag (0.6275, 0.6275, 0.6275)  4 Mg 2.87-2.89, 3 Li 2.90, 3 Ag 3.19, 1 Ca 3.21
Ag (0.8946, 0.8946, 0.8946)  1 Li 2.66, 3 Mg 2.83



# 2
DFT (GGA-PBE) results for a relaxed Li2CaMgAg crystal.

Calculated values
energy above the most stable polymorph in this dataset = 58 kJ/mol of formula units
DOS(E_F) = 0.5238 states/eV per atom
formation energy from the elements = 0.005 eV/atom
SG = P4/mmm (123)
electronic total energy = -2.0504 eV per atom

Cell lengths 5.0103, 5.0103, 5.1953 Å; angles 90.00, 90.00, 90.00 degrees
Closest atoms and distances in Å follow each position.
Positions (direct):
Li (0.0000, 0.5000, 0.0000)  2 Ag 2.51
Li (0.5000, 0.0000, 0.0000)  2 Ag 2.51
Ca (0.0000, 0.0000, 0.5000)  4 Mg 3.54, 8 Li 3.61
Mg (0.5000, 0.5000, 0.5000)  2 Ag 2.60
Ag (0.5000, 0.5000, 0.0000)  4 Li 2.51, 2 Mg 2.60



# 3
DFT (GGA-PBE) results for a relaxed LiCaMgAg2 crystal.

Calculated values
DOS(E_F) = 0.5700 states/eV per atom
formation energy from the elements = 0.693 eV/atom
SG = P4/mmm (123)
electronic total energy = -1.5499 eV per atom

Cell lengths 5.3506, 5.3506, 5.3544 Å; angles 90.00, 90.00, 90.00 degrees
Closest atoms and distances in Å follow each position.
Positions (direct):
Li (0.0000, 0.0000, 0.0000)  2 Ca 2.68
Ca (0.0000, 0.0000, 0.5000)  4 Ag 2.68, 2 Li 2.68
Mg (0.5000, 0.5000, 0.0000)  4 Li 3.78, 8 Ag 3.78
Ag (0.0000, 0.5000, 0.5000)  2 Ca 2.68
Ag (0.5000, 0.0000, 0.5000)  2 Ca 2.68



# 4
DFT (GGA-PBE) results for a relaxed Li2CaAgN crystal.

Calculated values
DOS(E_F) = 0.0767 states/eV per atom
raw formation energy = -0.303 eV per atom
SG = P4/mmm (123)
electronic total energy = -3.7039 eV per atom

Cell lengths 4.2540, 4.2540, 4.7631 Å; angles 90.00, 90.00, 90.00 degrees
Closest atoms and distances in Å follow each position.
Positions (direct):
Li (0.0000, 0.5000, 0.0000)  2 N 2.13
Li (0.5000, 0.0000, 0.0000)  2 N 2.13
Ca (0.0000, 0.0000, 0.5000)  2 N 2.38
Ag (0.5000, 0.5000, 0.5000)  4 Ca 3.01, 8 Li 3.19
N (0.0000, 0.0000, 0.0000)  4 Li 2.13, 2 Ca 2.38



# 5
DFT (GGA-PBE) results for a relaxed NaLiCa2Ag crystal.

Calculated values
energy above the most stable polymorph in this dataset = 39 kJ/mol of formula units
DOS(E_F) = 0.6069 states/eV per atom
formation energy from the elements = 0.088 eV/atom
SG = P4/mmm (123)
electronic total energy = -1.9292 eV per atom

Cell lengths 5.8036, 5.8036, 5.5937 Å; angles 90.00, 90.00, 90.00 degrees
Closest atoms and distances in Å follow each position.
Positions (direct):
Na (0.0000, 0.0000, 0.0000)  2 Ag 2.80
Li (0.5000, 0.5000, 0.0000)  8 Ca 4.03, 4 Na 4.10
Ca (0.0000, 0.5000, 0.5000)  2 Ag 2.90
Ca (0.5000, 0.0000, 0.5000)  2 Ag 2.90
Ag (0.0000, 0.0000, 0.5000)  2 Na 2.80, 4 Ca 2.90



# 6
DFT (GGA-PBE) results for a relaxed NaLiCa2Ag crystal.

Calculated values
energy above the most stable polymorph in this dataset = 0 kJ/mol of formula units
DOS(E_F) = 0.7125 states/eV per atom
formation energy from the elements = 0.007 eV/atom
SG = P4/mmm (123)
electronic total energy = -2.0104 eV per atom

Cell lengths 5.8599, 5.8599, 5.1089 Å; angles 90.00, 90.00, 90.00 degrees
Closest atoms and distances in Å follow each position.
Positions (direct):
Na (0.0000, 0.0000, 0.0000)  8 Ca 3.89, 4 Li 4.14
Li (0.5000, 0.5000, 0.0000)  2 Ag 2.55
Ca (0.0000, 0.5000, 0.5000)  2 Ag 2.93
Ca (0.5000, 0.0000, 0.5000)  2 Ag 2.93
Ag (0.5000, 0.5000, 0.5000)  2 Li 2.55



# 7
DFT (GGA-PBE) results for a relaxed NaLi2CaAg crystal.

Calculated values
DOS(E_F) = 0.5234 states/eV per atom
formation energy from the elements = 0.057 eV/atom
SG = P4/mmm (123)
electronic total energy = -1.9433 eV per atom

Cell lengths 5.1939, 5.1939, 5.7447 Å; angles 90.00, 90.00, 90.00 degrees
Closest atoms and distances in Å follow each position.
Positions (direct):
Na (0.0000, 0.0000, 0.0000)  4 Ca 3.67, 8 Li 3.87
Li (0.0000, 0.5000, 0.5000)  2 Ag 2.60
Li (0.5000, 0.0000, 0.5000)  2 Ag 2.60
Ca (0.5000, 0.5000, 0.0000)  2 Ag 2.87
Ag (0.5000, 0.5000, 0.5000)  4 Li 2.60, 2 Ca 2.87



# 8
DFT (GGA-PBE) results for a relaxed LiCaNiAg crystal.

Calculated values
DOS(E_F) = 0.5568 states/eV per atom
formation energy from the elements = -0.043 eV/atom
SG = F-43m (216)
electronic total energy = -3.1803 eV per atom

Cell lengths 4.6668, 4.6668, 4.6668 Å; angles 60.00, 60.00, 60.00 degrees
Closest atoms and distances in Å follow each position.
Positions (direct):
Li (0.0000, 0.0000, 0.0000)  4 Ca 2.86, 4 Ag 2.86
Ca (0.7500, 0.7500, 0.7500)  4 Li 2.86, 4 Ni 2.86
Ni (0.5000, 0.5000, 0.5000)  4 Ca 2.86, 4 Ag 2.86
Ag (0.2500, 0.2500, 0.2500)  4 Li 2.86, 4 Ni 2.86



# 9
DFT (GGA-PBE) results for a relaxed Li2CaAgO4 crystal.

Calculated values
DOS(E_F) = 0.6248 states/eV per atom
raw formation energy = -1.343 eV per atom
SG = C2/c (15)
electronic total energy = -4.9071 eV per atom

Cell lengths 6.2702, 6.2702, 6.4663 Å; angles 119.45, 119.45, 88.02 degrees
Closest atoms and distances in Å follow each position.
Positions (direct):
Li (0.0000, 0.0000, 0.0000)  4 O 2.11-2.29
Li (0.0000, 0.0000, 0.5000)  4 O 2.11-2.29
Li (0.0000, 0.5000, 0.0000)  4 O 2.09-2.21
Li (0.5000, 0.0000, 0.5000)  4 O 2.09-2.21
Ca (0.0000, 0.5000, 0.5000)  6 O 2.30-2.34
Ca (0.5000, 0.0000, 0.0000)  6 O 2.30-2.34
Ag (0.5000, 0.5000, 0.0000)  4 O 2.06-2.07
Ag (0.5000, 0.5000, 0.5000)  4 O 2.06-2.07
O (0.2323, 0.2578, 0.9439)  1 Ag 2.07, 2 Li 2.09-2.11, 1 Ca 2.31
O (0.2554, 0.7292, 0.9947)  1 Ag 2.06, 2 Li 2.21-2.29, 1 Ca 2.30
O (0.2578, 0.2323, 0.4439)  1 Ag 2.07, 2 Li 2.09-2.11, 1 Ca 2.31
O (0.2708, 0.7446, 0.5053)  1 Ag 2.06, 2 Li 2.21-2.29, 1 Ca 2.30
O (0.7292, 0.2554, 0.4947)  1 Ag 2.06, 2 Li 2.21-2.29, 1 Ca 2.30
O (0.7422, 0.7677, 0.5561)  1 Ag 2.07, 2 Li 2.09-2.11, 1 Ca 2.31
O (0.7446, 0.2708, 0.0053)  1 Ag 2.06, 2 Li 2.21-2.29, 1 Ca 2.30
O (0.7677, 0.7422, 0.0561)  1 Ag 2.07, 2 Li 2.09-2.11, 1 Ca 2.31



# 10
DFT (GGA-PBE) results for a relaxed LiCaAgO2 crystal.

Calculated values
DOS(E_F) = 0.0000 states/eV per atom
raw formation energy = -1.624 eV per atom
SG = P2/c (13)
electronic total energy = -4.9604 eV per atom

Cell lengths 5.5324, 4.6549, 5.8666 Å; angles 90.00, 98.61, 90.00 degrees
Closest atoms and distances in Å follow each position.
Positions (direct):
Li (0.0000, 0.0178, 0.2500)  4 O 2.09-2.12
Li (0.0000, 0.9822, 0.7500)  4 O 2.09-2.12
Ca (0.5000, 0.1507, 0.7500)  4 O 2.28-2.30
Ca (0.5000, 0.8493, 0.2500)  4 O 2.28-2.30
Ag (0.0000, 0.5000, 0.0000)  2 O 2.10
Ag (0.0000, 0.5000, 0.5000)  2 O 2.10
O (0.2433, 0.1518, 0.0234)  2 Li 2.09-2.12, 1 Ag 2.10, 2 Ca 2.28-2.30
O (0.2433, 0.8482, 0.5234)  2 Li 2.09-2.12, 1 Ag 2.10, 2 Ca 2.28-2.30
O (0.7567, 0.1518, 0.4766)  2 Li 2.09-2.12, 1 Ag 2.10, 2 Ca 2.28-2.30
O (0.7567, 0.8482, 0.9766)  2 Li 2.09-2.12, 1 Ag 2.10, 2 Ca 2.28-2.30



# 11
DFT (GGA-PBE) results for a relaxed Li2CaAg2Pb2 crystal.

Calculated values
DOS(E_F) = 0.5346 states/eV per atom
formation energy from the elements = -0.241 eV/atom
SG = R-3m (166)
electronic total energy = -2.9480 eV per atom

Cell lengths 8.8557, 8.8557, 8.8557 Å; angles 30.97, 30.97, 30.97 degrees
Closest atoms and distances in Å follow each position.
Positions (direct):
Li (0.1409, 0.1409, 0.1409)  3 Ag 2.84, 1 Pb 2.96, 3 Li 3.03
Li (0.8591, 0.8591, 0.8591)  3 Ag 2.84, 1 Pb 2.96, 3 Li 3.03
Ca (0.0000, 0.0000, 0.0000)  6 Pb 3.33, 2 Li 3.56
Ag (0.4439, 0.4439, 0.4439)  1 Ag 2.83, 3 Li 2.84, 3 Pb 2.87
Ag (0.5561, 0.5561, 0.5561)  1 Ag 2.83, 3 Li 2.84, 3 Pb 2.87
Pb (0.2580, 0.2580, 0.2580)  3 Ag 2.87, 4 Li 2.96-3.19
Pb (0.7420, 0.7420, 0.7420)  3 Ag 2.87, 4 Li 2.96-3.19



# 12
DFT (GGA-PBE) results for a relaxed LiCaAgPd crystal.

Calculated values
DOS(E_F) = 0.4475 states/eV per atom
formation energy from the elements = -0.387 eV/atom
SG = Cm (8)
electronic total energy = -3.3773 eV per atom

Cell lengths 4.5104, 4.5104, 5.4231 Å; angles 114.32, 114.32, 59.90 degrees
Closest atoms and distances in Å follow each position.
Positions (direct):
Li (0.0000, 0.0000, 0.0000)  3 Pd 2.65, 3 Ag 2.71
Ca (0.4906, 0.4906, 0.4716)  4 Ag 3.01-3.15, 4 Pd 3.02-3.14
Ag (0.2805, 0.2805, 0.8412)  3 Li 2.71, 3 Pd 2.89-2.90, 1 Ca 3.01
Pd (0.7013, 0.7013, 0.1049)  3 Li 2.65, 3 Ag 2.89-2.90